[1]
A plane-wave DFT calculation with PBE-GGA was carried out for a relaxed PrNdCd2As2O2 crystal.

The space group is P4mm (No. 99) and the conventional cell measures 4.196, 4.196 and 9.231 Å, with angles of 90.00, 90.00 and 90.00 degrees. The asymmetric unit holds Pr at (0.000, 0.000, 0.000), Nd at (0.500, 0.500, 0.245), Cd at (0.000, 0.500, 0.623), As at (0.000, 0.000, 0.426), As at (0.500, 0.500, 0.820) and O at (0.000, 0.500, 0.125).

The total energy comes out at -5.525 eV/atom. The volume is 162.5 Å³ per cell.

[2]
A plane-wave DFT calculation with PBE-GGA was carried out for a relaxed Nd2CdSbAs crystal.

The space group is Cmc2_1 (No. 36) and the conventional cell measures 4.363, 17.422 and 7.449 Å, with angles of 90.00, 90.00 and 90.00 degrees. The asymmetric unit holds Nd at (0.000, 0.031, 0.000), Nd at (0.000, 0.223, 0.596), Cd at (0.000, 0.407, 0.824), Sb at (0.000, 0.402, 0.223) and As at (0.000, 0.173, 0.218).

The total energy comes out at -4.626 eV/atom. The volume is 566.2 Å³ per cell.

Copy entry 1 word for word.
A plane-wave DFT calculation with PBE-GGA was carried out for a relaxed PrNdCd2As2O2 crystal.

The space group is P4mm (No. 99) and the conventional cell measures 4.196, 4.196 and 9.231 Å, with angles of 90.00, 90.00 and 90.00 degrees. The asymmetric unit holds Pr at (0.000, 0.000, 0.000), Nd at (0.500, 0.500, 0.245), Cd at (0.000, 0.500, 0.623), As at (0.000, 0.000, 0.426), As at (0.500, 0.500, 0.820) and O at (0.000, 0.500, 0.125).

The total energy comes out at -5.525 eV/atom. The volume is 162.5 Å³ per cell.